No. 1
Compound: LaNbS2
Source: the Alexandria database
Functional: GGA-PBE
Structure: optimized geometry

```
LaNbS2
1.0
-4.225 0.314 2.152
-3.975 0.244 -2.592
-2.999 -3.684 -0.103
La Nb S
1 1 2
direct
0.500 0.500 0.500 La
0.000 0.000 0.000 Nb
0.250 0.250 0.250 S
0.750 0.750 0.750 S
```

Values from the calculation:
- E (eV per atom) = -6.913
- formation energy without anion corrections (eV per atom) = -1.100
- crystal system = cubic
- polymorph energy (0 for the lowest one) (meV/atom) = 0.0

---

No. 2
Compound: LaNbS2
Source: the Alexandria database
Functional: GGA-PBE
Structure: optimized geometry

```
LaNbS2
1.0
2.038 0.000 8.735
-1.019 1.765 8.735
-1.019 -1.765 8.735
La S Nb
1 2 1
direct
0.000 0.000 0.000 La
0.891 0.891 0.891 S
0.109 0.109 0.109 S
0.500 0.500 0.500 Nb
```

Values from the calculation:
- E (eV per atom) = -6.663
- formation energy without anion corrections (eV per atom) = -0.850
- crystal system = trigonal
- polymorph energy (0 for the lowest one) (meV/atom) = 250.5

---

No. 3
Compound: LaNbS4
Source: the Alexandria database
Functional: GGA-PBE
Structure: optimized geometry

```
LaNbS4
1.0
-4.242 -1.009 5.038
4.930 -2.322 3.686
1.947 6.192 1.296
S Nb La
8 2 2
direct
0.899 0.640 0.169 S
0.227 0.804 0.636 S
0.773 0.196 0.364 S
0.727 0.696 0.636 S
0.399 0.860 0.169 S
0.601 0.140 0.831 S
0.273 0.304 0.364 S
0.101 0.360 0.831 S
0.000 0.500 0.500 Nb
0.500 0.000 0.500 Nb
0.000 0.000 0.000 La
0.500 0.500 0.000 La
```

Values from the calculation:
- E (eV per atom) = -6.455
- formation energy without anion corrections (eV per atom) = -1.204
- crystal system = monoclinic

---

No. 4
Compound: LaNbS2
Source: the Alexandria database
Functional: GGA-PBE
Structure: optimized geometry

```
LaNbS2
1.0
4.020 -6.505 3.245
5.918 -5.818 -0.360
6.901 -3.557 2.956
Nb S La
1 2 1
direct
0.000 0.000 0.000 Nb
0.899 0.899 0.899 S
0.101 0.101 0.101 S
0.500 0.500 0.500 La
```

Values from the calculation:
- E (eV per atom) = -6.493
- formation energy without anion corrections (eV per atom) = -0.680
- crystal system = trigonal
- polymorph energy (0 for the lowest one) (meV/atom) = 419.7

---

No. 5
Compound: LaNb6S8
Source: the Alexandria database
Functional: GGA-PBE
Structure: optimized geometry

```
LaNb6S8
1.0
6.683 0.244 0.252
0.036 6.687 0.252
0.036 0.037 6.692
S Nb La
8 6 1
direct
0.236 0.236 0.236 S
0.247 0.607 0.869 S
0.764 0.764 0.764 S
0.869 0.247 0.607 S
0.131 0.753 0.393 S
0.753 0.393 0.131 S
0.607 0.869 0.247 S
0.393 0.131 0.753 S
0.442 0.796 0.591 Nb
0.409 0.558 0.204 Nb
0.204 0.409 0.558 Nb
0.591 0.442 0.796 Nb
0.796 0.591 0.442 Nb
0.558 0.204 0.409 Nb
0.000 0.000 0.000 La
```

Values from the calculation:
- E (eV per atom) = -7.665
- formation energy without anion corrections (eV per atom) = -1.108
- crystal system = trigonal

---

No. 6
Compound: La3NbS
Source: the Alexandria database
Functional: GGA-PBE
Structure: optimized geometry

```
La3NbS
1.0
5.519 0.000 0.000
0.000 5.519 0.000
0.000 0.000 5.519
La S Nb
3 1 1
direct
0.000 0.000 0.500 La
0.500 0.000 0.000 La
0.000 0.500 0.000 La
0.500 0.500 0.500 S
0.000 0.000 0.000 Nb
```

Values from the calculation:
- E (eV per atom) = -5.680
- formation energy without anion corrections (eV per atom) = 0.115
- crystal system = cubic

---

No. 7
Compound: LaTa2NbS
Source: the Alexandria database
Functional: GGA-PBE
Structure: optimized geometry

```
LaTa2NbS
1.0
4.804 0.000 0.000
0.000 6.037 0.000
0.000 0.000 4.804
La S Nb Ta
1 1 1 2
direct
0.000 0.500 0.000 La
0.500 0.500 0.500 S
0.000 0.000 0.000 Nb
0.500 0.000 0.000 Ta
0.000 0.000 0.500 Ta
```

Values from the calculation:
- E (eV per atom) = -7.441
- formation energy without anion corrections (eV per atom) = 1.125
- crystal system = tetragonal

---

No. 8
Compound: LaNbSb3
Source: the Alexandria database
Functional: GGA-PBE
Structure: optimized geometry

```
LaNbSb3
1.0
-0.951 2.878 5.046
-3.376 -4.434 1.893
4.727 -2.588 2.367
La Sb Nb
1 3 1
direct
0.000 0.000 0.000 La
0.000 0.000 0.500 Sb
0.500 0.000 0.000 Sb
0.000 0.500 0.000 Sb
0.500 0.500 0.500 Nb
```

Values from the calculation:
- E (eV per atom) = -4.251
- formation energy without anion corrections (eV per atom) = 1.222
- crystal system = cubic
- polymorph energy (0 for the lowest one) (meV/atom) = 1366.8

---

No. 9
Compound: LaNbSb2
Source: the Alexandria database
Functional: GGA-PBE
Structure: optimized geometry

```
LaNbSb2
1.0
6.150 0.000 0.000
0.000 6.150 0.000
3.075 3.075 7.769
Sb Nb La
4 2 2
direct
0.203 0.625 0.250 Sb
0.875 0.797 0.750 Sb
0.547 0.125 0.250 Sb
0.375 0.453 0.750 Sb
0.250 0.750 0.500 Nb
0.500 0.500 0.000 Nb
0.000 0.000 0.000 La
0.750 0.250 0.500 La
```

Values from the calculation:
- E (eV per atom) = -5.738
- formation energy without anion corrections (eV per atom) = 0.072
- crystal system = tetragonal
- polymorph energy (0 for the lowest one) (meV/atom) = 432.1

---

No. 10
Compound: LaNb3Sb
Source: the Alexandria database
Functional: GGA-PBE
Structure: optimized geometry

```
LaNb3Sb
1.0
4.967 0.000 0.000
0.000 4.967 0.000
0.000 0.000 4.967
Nb La Sb
3 1 1
direct
0.000 0.500 0.000 Nb
0.000 0.000 0.500 Nb
0.500 0.000 0.000 Nb
0.000 0.000 0.000 La
0.500 0.500 0.500 Sb
```

Values from the calculation:
- E (eV per atom) = -6.162
- formation energy without anion corrections (eV per atom) = 1.690
- crystal system = cubic
- polymorph energy (0 for the lowest one) (meV/atom) = 707.4

---

No. 11
Compound: LaNb2Sb
Source: the Alexandria database
Functional: GGA-PBE
Structure: optimized geometry

```
LaNb2Sb
1.0
-0.841 8.250 -0.184
-3.130 -0.148 7.680
0.774 4.357 4.879
Nb Sb La
4 2 2
direct
0.177 0.625 0.250 Nb
0.573 0.125 0.250 Nb
0.375 0.427 0.750 Nb
0.875 0.823 0.750 Nb
0.250 0.750 0.500 Sb
0.500 0.500 0.000 Sb
0.000 0.000 0.000 La
0.750 0.250 0.500 La
```

Values from the calculation:
- E (eV per atom) = -6.795
- formation energy without anion corrections (eV per atom) = 0.503
- crystal system = tetragonal

---

No. 12
Compound: La3NbSb
Source: the Alexandria database
Functional: GGA-PBE
Structure: optimized geometry

```
La3NbSb
1.0
5.493 0.000 0.000
0.000 5.493 0.000
0.000 0.000 5.493
La Nb Sb
3 1 1
direct
0.000 0.500 0.000 La
0.500 0.000 0.000 La
0.000 0.000 0.500 La
0.000 0.000 0.000 Nb
0.500 0.500 0.500 Sb
```

Values from the calculation:
- E (eV per atom) = -5.825
- formation energy without anion corrections (eV per atom) = -0.030
- crystal system = cubic
- polymorph energy (0 for the lowest one) (meV/atom) = 0.0

---

No. 13
Compound: LaNbSb
Source: the Alexandria database
Functional: GGA-PBE
Structure: optimized geometry

```
LaNbSb
1.0
3.980 0.000 0.000
-1.990 5.632 0.265
0.000 -2.157 7.627
Sb Nb La
2 2 2
direct
0.824 0.649 0.763 Sb
0.176 0.351 0.237 Sb
0.622 0.243 0.466 Nb
0.378 0.757 0.534 Nb
0.893 0.786 0.203 La
0.107 0.214 0.797 La
```

Values from the calculation:
- E (eV per atom) = -6.704
- formation energy without anion corrections (eV per atom) = -0.331
- crystal system = monoclinic

---

No. 14
Compound: La3NbSb5
Source: the Alexandria database
Functional: GGA-PBE
Structure: optimized geometry

```
La3NbSb5
1.0
9.566 0.000 0.000
-4.783 8.284 0.000
0.000 0.000 6.331
La Sb Nb
6 10 2
direct
0.617 0.617 0.250 La
0.617 0.000 0.750 La
0.383 0.383 0.750 La
0.000 0.617 0.750 La
0.383 0.000 0.250 La
0.000 0.383 0.250 La
0.333 0.667 0.500 Sb
0.256 0.256 0.250 Sb
0.667 0.333 0.000 Sb
0.744 0.000 0.250 Sb
0.000 0.744 0.250 Sb
0.000 0.256 0.750 Sb
0.333 0.667 0.000 Sb
0.256 0.000 0.750 Sb
0.744 0.744 0.750 Sb
0.667 0.333 0.500 Sb
0.000 0.000 0.000 Nb
0.000 0.000 0.500 Nb
```

Values from the calculation:
- E (eV per atom) = -5.971
- formation energy without anion corrections (eV per atom) = -0.919
- crystal system = hexagonal

---

No. 15
Compound: LaNbSb3
Source: the Alexandria database
Functional: GGA-PBE
Structure: optimized geometry

```
LaNbSb3
1.0
-0.281 -1.736 5.078
-1.688 -4.798 -1.734
5.094 -1.686 -0.294
Sb Nb La
3 1 1
direct
0.000 0.500 0.000 Sb
0.000 0.000 0.500 Sb
0.500 0.000 0.000 Sb
0.000 0.000 0.000 Nb
0.500 0.500 0.500 La
```

Values from the calculation:
- E (eV per atom) = -5.618
- formation energy without anion corrections (eV per atom) = -0.145
- crystal system = cubic
- polymorph energy (0 for the lowest one) (meV/atom) = 0.0

---

No. 16
Compound: La2NbSb
Source: the Alexandria database
Functional: GGA-PBE
Structure: optimized geometry

```
La2NbSb
1.0
-2.233 -8.224 0.533
7.242 -1.695 4.194
1.082 -4.400 5.046
Sb La Nb
2 4 2
direct
0.750 0.250 0.500 Sb
0.000 0.000 0.000 Sb
0.875 0.831 0.750 La
0.375 0.419 0.750 La
0.581 0.125 0.250 La
0.169 0.625 0.250 La
0.500 0.500 0.000 Nb
0.250 0.750 0.500 Nb
```

Values from the calculation:
- E (eV per atom) = -5.879
- formation energy without anion corrections (eV per atom) = 0.132
- crystal system = tetragonal

---

No. 17
Compound: LaNb3Sb
Source: the Alexandria database
Functional: GGA-PBE
Structure: optimized geometry

```
LaNb3Sb
1.0
-3.587 2.683 -2.537
-3.595 -1.730 3.254
0.843 4.038 3.079
La Nb Sb
1 3 1
direct
0.500 0.500 0.500 La
0.000 0.500 0.000 Nb
0.000 0.000 0.500 Nb
0.500 0.000 0.000 Nb
0.000 0.000 0.000 Sb
```

Values from the calculation:
- E (eV per atom) = -6.869
- formation energy without anion corrections (eV per atom) = 0.983
- crystal system = cubic
- polymorph energy (0 for the lowest one) (meV/atom) = 0.0

---

No. 18
Compound: LaNbSb2
Source: the Alexandria database
Functional: GGA-PBE
Structure: optimized geometry

```
LaNbSb2
1.0
3.340 -3.908 -0.876
2.640 -2.113 3.970
-1.146 -4.822 1.620
Nb La Sb
1 1 2
direct
0.000 0.000 0.000 Nb
0.500 0.500 0.500 La
0.750 0.750 0.750 Sb
0.250 0.250 0.250 Sb
```

Values from the calculation:
- E (eV per atom) = -6.170
- formation energy without anion corrections (eV per atom) = -0.360
- crystal system = cubic
- polymorph energy (0 for the lowest one) (meV/atom) = 0.0

---

No. 19
Compound: LaNbSn2Sb
Source: the Alexandria database
Functional: GGA-PBE
Structure: optimized geometry

```
LaNbSn2Sb
1.0
-2.531 3.241 -3.491
-0.272 -4.123 -3.631
-4.756 -1.498 2.058
La Sb Sn Nb
1 1 2 1
direct
0.000 0.500 0.000 La
0.500 0.500 0.500 Sb
0.000 0.000 0.500 Sn
0.500 0.000 0.000 Sn
0.000 0.000 0.000 Nb
```

Values from the calculation:
- E (eV per atom) = -5.228
- formation energy without anion corrections (eV per atom) = 0.197
- crystal system = tetragonal

---

No. 20
Compound: LaNbSb2Te
Source: the Alexandria database
Functional: GGA-PBE
Structure: optimized geometry

```
LaNbSb2Te
1.0
5.307 0.000 0.000
0.000 5.307 0.000
0.000 0.000 5.612
Nb La Te Sb
1 1 1 2
direct
0.000 0.000 0.000 Nb
0.500 0.500 0.500 La
0.000 0.000 0.500 Te
0.000 0.500 0.000 Sb
0.500 0.000 0.000 Sb
```

Values from the calculation:
- E (eV per atom) = -5.507
- formation energy without anion corrections (eV per atom) = -0.231
- crystal system = tetragonal
- polymorph energy (0 for the lowest one) (meV/atom) = 0.0

---

Total moment values, unit μB per atom, following the record order: 0.00 0.00 0.00 0.61 0.00 0.00 0.00 0.64 0.00 0.00 0.00 0.00 0.00 0.00 0.00 0.44 0.00 0.36 0.01 0.00.